Record 1
## LaTb7Y2 (PBE)

Data for an optimized crystal structure of LaTb7Y2.

As for the total energy: -4.334 eV per atom. For the energy relative to the elements, the calculation gives 0.69 eV per atom.

It has space group Cmmm (No. 65), with a = 8.680 Å, b = 16.511 Å, c = 5.618 Å, α = 90.00°, β = 90.00° and γ = 90.00°. The asymmetric unit holds La at (0.000, 0.000, 0.000), Tb at (0.000, 0.213, 0.000), Tb at (0.000, 0.500, 0.500), Tb at (0.176, 0.113, 0.500) and Y at (0.000, 0.295, 0.500).



Record 2
## LaDy5Y3 (PBE)

Data for an optimized crystal structure of LaDy5Y3.

As for the total energy: -4.927 eV per atom. For the energy relative to the elements, the calculation gives 0.33 eV per atom.

It has space group C2/c (No. 15), with a = 19.237 Å, b = 6.070 Å, c = 11.190 Å, α = 90.00°, β = 112.50° and γ = 90.00°. The asymmetric unit holds La at (0.000, 0.143, 0.250), Dy at (0.000, 0.376, 0.750), Dy at (0.165, 0.259, 0.697), Dy at (0.169, 0.268, 0.029), Y at (0.000, 0.000, 0.000) and Y at (0.176, 0.222, 0.364).



Record 3
## ScCrC2 (PBE)

Data for an optimized crystal structure of ScCrC2.

As for the total energy: -8.946 eV per atom. For the energy relative to the elements, the calculation gives -0.35 eV per atom.

It has space group P6_3/mmc (No. 194), with a = 3.2560 Å, b = 3.2560 Å, c = 9.0468 Å, α = 90.00°, β = 90.00° and γ = 120.00°. The asymmetric unit holds Sc at (0.0000, 0.0000, 0.0000), Cr at (0.3333, 0.6667, 0.2500) and C at (0.3333, 0.6667, 0.6651).



Record 4
## Ca2PmUSb4 (PBE)

Data for an optimized crystal structure of Ca2PmUSb4.

For the formation energy without anion corrections, the calculation gives -6.31 eV per formula unit. As for the total energy: -5.355 eV per atom.

It has space group P2/m (No. 10), with a = 7.746 Å, b = 4.508 Å, c = 7.756 Å, α = 90.00°, β = 109.56° and γ = 90.00°. The asymmetric unit holds Ca at (0.000, 0.000, 0.000), Ca at (0.000, 0.500, 0.500), Pm at (0.500, 0.000, 0.500), U at (0.500, 0.500, 0.000), Sb at (0.261, 0.500, 0.242) and Sb at (0.266, 0.000, 0.764).



Record 5
## TbGaF (PBE)

Data for an optimized crystal structure of TbGaF.

For the formation energy without anion corrections, the calculation gives -5.34 eV per formula unit. As for the total energy: -4.957 eV per atom.

It has space group P4/nmm (No. 129, origin choice 2), with a = 3.359 Å, b = 3.359 Å, c = 9.108 Å, α = 90.00°, β = 90.00° and γ = 90.00°. The asymmetric unit holds Tb at (0.250, 0.250, 0.195), Ga at (0.250, 0.250, 0.583) and F at (0.250, 0.250, 0.933).